Tb after structural relaxation. Source: the Alexandria database, functional PBE.

a = 3.568 Å, b = 3.568 Å, c = 11.482 Å
α = 90.00°, β = 90.00°, γ = 120.00°
Positions (direct):
1 Tb 0.000 0.000 0.000
2 Tb 0.000 0.000 0.500
3 Tb 0.667 0.333 0.750
4 Tb 0.333 0.667 0.250

Spin magnetization = 0.000 μB per formula unit
Final energy = -4.630 eV/atom
Space-group type = P6_3/mmc (194)
Density of states at the Fermi level = 1.36 states/eV/f.u.
Distance to the lowest polymorph of the same formula = 0 meV per atom
Formation enthalpy at 0 K = 0.000 eV/atom
Crystal system = hexagonal